The following is a DFT calculation (PBE-GGA) of a relaxed Pm4SiTe2S crystal.

Output
Formation energy from raw total energies (kJ/mol of formula units): -1127
Fermi-level density of states (states/eV/f.u.): 3.455

Lattice parameters (Å, degrees): 7.3359 4.2632 7.6730 90.00 108.87 90.00
With the nearest neighbours (Å) after each atom.
Sites, in units of the cell vectors:
Pm 0.2386 0.0000 0.2183  2 Si 2.92, 1 S 2.93, 3 Te 3.19-3.20
Pm 0.2593 0.5000 0.7855  1 Si 2.89, 2 S 2.91, 3 Te 3.20-3.23
Pm 0.7407 0.5000 0.2145  1 Si 2.89, 2 S 2.91, 3 Te 3.20-3.23
Pm 0.7614 0.0000 0.7817  2 Si 2.92, 1 S 2.93, 3 Te 3.19-3.20
Si 0.0000 0.5000 0.0000  6 Pm 2.89-2.92
Te 0.0000 0.0000 0.5000  6 Pm 3.19-3.20
Te 0.5000 0.5000 0.5000  6 Pm 3.20-3.23
S 0.5000 0.0000 0.0000  6 Pm 2.91-2.93

---

The following is a DFT calculation (PBE-GGA) of a relaxed PmThSiS crystal.

Output
Formation energy from raw total energies (kJ/mol of formula units): -511
Fermi-level density of states (states/eV/f.u.): 1.983

Lattice parameters (Å, degrees): 7.1410 7.1410 7.1410 34.13 34.13 34.13
With the nearest neighbours (Å) after each atom.
Sites, in units of the cell vectors:
Pm 0.0000 0.0000 0.0000  3 Si 2.95, 3 S 2.96
Th 0.4987 0.4987 0.4987  3 Si 2.93, 3 S 2.95
Si 0.7500 0.7500 0.7500  3 Th 2.93, 3 Pm 2.95
S 0.2490 0.2490 0.2490  3 Th 2.95, 3 Pm 2.96

---

Number 1: theoretical density 6.5 g/cm³. Number 2: theoretical density 7.1 g/cm³.